(1)
## LaTb6Pm5 (GGA-PBE)

Data for an optimized crystal structure of LaTb6Pm5.

```
12
Lattice="-2.563 5.088 7.687 2.563 -5.088 7.687 2.563 5.088 -7.687" Properties=species:S:1:pos:R:3 pbc="T T T"
La 0.000 0.000 0.000
Tb 2.563 -2.535 5.120
Tb 2.563 2.563 0.000
Tb 0.000 2.554 2.566
Tb 2.563 2.535 5.120
Tb 0.000 2.526 7.687
Tb 0.000 7.623 2.566
Pm 2.563 0.000 2.580
Pm 0.000 0.000 5.116
Pm 0.000 5.088 0.000
Pm 0.000 0.000 10.257
Pm 0.000 5.088 5.107
```

Summary:
Energy of formation = 0.38 kcal/mol of atoms
Total moment = 0.000 μB per atom

(2)
## Ba2Pt3Pb4Au (GGA-PBE)

Data for an optimized crystal structure of Ba2Pt3Pb4Au.

```
10
Lattice="5.018 0.000 0.000 0.000 5.018 0.000 0.000 0.000 10.872" Properties=species:S:1:pos:R:3 pbc="T T T"
Ba 0.000 2.509 2.635
Ba 2.509 0.000 8.237
Pt 0.000 0.000 0.000
Pt 0.000 2.509 6.772
Pt 2.509 0.000 4.100
Pb 0.000 0.000 5.436
Pb 0.000 2.509 9.525
Pb 2.509 0.000 1.347
Pb 2.509 2.509 5.436
Au 2.509 2.509 0.000
```

Summary:
Energy of formation = -11.59 kcal/mol of atoms
Total moment = 0.000 μB per atom